No. 1
Mo2IrRh | PBE-GGA | relaxed

Cell lengths 4.4356, 4.4356, 4.4356 Å; angles 60.00, 60.00, 60.00 degrees
Fractional coordinates of all 4 atoms:
Mo: 0.2500 0.2500 0.2500
Mo: 0.7500 0.7500 0.7500
Ir: 0.0000 0.0000 0.0000
Rh: 0.5000 0.5000 0.5000

Output
* energy relative to the elements: 281 meV/atom
* space-group type: Fm-3m, No. 225
* energy above the most stable polymorph in this dataset: 539 meV/atom

***

No. 2
Zr2ReTc | PBE-GGA | relaxed

Cell lengths 6.0763, 6.0763, 6.0763 Å; angles 152.82, 132.13, 55.92 degrees
Fractional coordinates of all 4 atoms:
Zr: 0.2473 0.2473 0.0000
Zr: 0.7527 0.7527 0.0000
Re: 0.5000 0.5000 0.0000
Tc: 0.0000 0.0000 0.0000

Output
* energy relative to the elements: 699 meV/atom
* space-group type: Immm, No. 71

***

No. 3
KRbMg2Pt | PBE-GGA | relaxed

Cell lengths 5.2579, 5.2579, 6.1964 Å; angles 90.00, 90.00, 90.00 degrees
Fractional coordinates of all 5 atoms:
K: 0.0000 0.0000 0.0000
Rb: 0.5000 0.5000 0.0000
Mg: 0.0000 0.5000 0.5000
Mg: 0.5000 0.0000 0.5000
Pt: 0.0000 0.0000 0.5000

Output
* energy relative to the elements: -143 meV/atom
* space-group type: P4/mmm, No. 123

***

No. 4
K3TiSe | PBE-GGA | relaxed

Cell lengths 6.3045, 6.3045, 6.3045 Å; angles 90.00, 90.00, 90.00 degrees
Fractional coordinates of all 5 atoms:
K: 0.0000 0.0000 0.5000
K: 0.0000 0.5000 0.0000
K: 0.5000 0.0000 0.0000
Ti: 0.5000 0.5000 0.5000
Se: 0.0000 0.0000 0.0000

Output
* space-group type: Pm-3m, No. 221
* energy above the most stable polymorph in this dataset: 0 meV/atom

***

No. 5
Er2GeO5 | PBE-GGA | relaxed

Cell lengths 7.9959, 7.9959, 11.2627 Å; angles 93.69, 93.69, 89.04 degrees
Fractional coordinates of all 48 atoms:
Er: 0.1257 0.8444 0.5700
Er: 0.1385 0.5001 0.7511
Er: 0.1556 0.8743 0.9300
Er: 0.2014 0.4959 0.0636
Er: 0.4959 0.2014 0.5636
Er: 0.5001 0.1385 0.2511
Er: 0.4999 0.8615 0.7489
Er: 0.5041 0.7986 0.4364
Er: 0.7986 0.5041 0.9364
Er: 0.8444 0.1257 0.0700
Er: 0.8615 0.4999 0.2489
Er: 0.8743 0.1556 0.4300
Ge: 0.1375 0.8625 0.2500
Ge: 0.2305 0.4359 0.4531
Ge: 0.4359 0.2305 0.9531
Ge: 0.5641 0.7695 0.0469
Ge: 0.7695 0.5641 0.5469
Ge: 0.8625 0.1375 0.7500
O: 0.0297 0.3768 0.3924
O: 0.0368 0.9377 0.3811
O: 0.0429 0.6240 0.9236
O: 0.0623 0.9632 0.1189
O: 0.0939 0.6461 0.2180
O: 0.2373 0.7627 0.7500
O: 0.2697 0.6525 0.4553
O: 0.2726 0.3699 0.6023
O: 0.3105 0.3875 0.8851
O: 0.3475 0.7303 0.0447
O: 0.3539 0.9061 0.2820
O: 0.3699 0.2726 0.1023
O: 0.3760 0.9571 0.5764
O: 0.3768 0.0297 0.8924
O: 0.3875 0.3105 0.3851
O: 0.6125 0.6895 0.6149
O: 0.6232 0.9703 0.1076
O: 0.6240 0.0429 0.4236
O: 0.6301 0.7274 0.8977
O: 0.6461 0.0939 0.7180
O: 0.6525 0.2697 0.9553
O: 0.6895 0.6125 0.1149
O: 0.7274 0.6301 0.3977
O: 0.7303 0.3475 0.5447
O: 0.7627 0.2373 0.2500
O: 0.9061 0.3539 0.7820
O: 0.9377 0.0368 0.8811
O: 0.9571 0.3760 0.0764
O: 0.9632 0.0623 0.6189
O: 0.9703 0.6232 0.6076

Output
* space-group type: C2/c, No. 15
* energy above the most stable polymorph in this dataset: 0 meV/atom

***

No. 6
NiPt8Rh5 | PBE-GGA | relaxed

Cell lengths 6.6011, 6.6011, 6.6011 Å; angles 109.48, 109.48, 109.46 degrees
Fractional coordinates of all 14 atoms:
Ni: 0.0000 0.0000 0.0000
Pt: 0.1051 0.6943 0.8042
Pt: 0.1679 0.2689 0.7744
Pt: 0.3057 0.1099 0.4108
Pt: 0.4945 0.3935 0.2256
Pt: 0.6065 0.8321 0.1010
Pt: 0.6991 0.8949 0.5892
Pt: 0.7311 0.5055 0.8990
Pt: 0.8901 0.3009 0.1958
Rh: 0.2357 0.6418 0.1994
Rh: 0.3582 0.5575 0.5939
Rh: 0.4425 0.0364 0.8006
Rh: 0.7500 0.2500 0.5000
Rh: 0.9636 0.7643 0.4061

Output
* energy relative to the elements: 236 meV/atom
* space-group type: I-4, No. 82

***

No. 7
MgBi2Cl8 | PBE-GGA | relaxed

Cell lengths 8.6628, 8.6628, 6.9572 Å; angles 106.68, 106.68, 59.36 degrees
Fractional coordinates of all 11 atoms:
Mg: 0.0000 0.0000 0.0000
Bi: 0.1291 0.1291 0.5966
Bi: 0.8709 0.8709 0.4034
Cl: 0.1580 0.7517 0.2224
Cl: 0.1670 0.1670 0.2414
Cl: 0.2483 0.8420 0.7776
Cl: 0.2930 0.2930 0.8244
Cl: 0.7070 0.7070 0.1756
Cl: 0.7517 0.1580 0.2224
Cl: 0.8330 0.8330 0.7586
Cl: 0.8420 0.2483 0.7776

Output
* space-group type: C2/m, No. 12
* energy above the most stable polymorph in this dataset: 42 meV/atom

***

No. 8
KNbCoB2 | PBE-GGA | relaxed

Cell lengths 4.3338, 4.3338, 5.3615 Å; angles 90.00, 90.00, 90.00 degrees
Fractional coordinates of all 5 atoms:
K: 0.0000 0.0000 0.0000
Nb: 0.0000 0.0000 0.5000
Co: 0.5000 0.5000 0.0000
B: 0.0000 0.5000 0.5000
B: 0.5000 0.0000 0.5000

Output
* energy relative to the elements: 2085 meV/atom
* space-group type: P4/mmm, No. 123

***

| no. | density of states at the Fermi level (states/eV/f.u.) | raw total energy (eV/atom) |
| --- | --- | --- |
| 1 | 6.76 | -9.187 |
| 2 | 4.28 | -9.278 |
| 3 | 2.83 | -2.402 |
| 4 | 28.41 | -2.703 |
| 5 | 0.00 | -7.777 |
| 6 | 26.54 | -6.254 |
| 7 | 0.00 | -3.287 |
| 8 | 9.27 | -4.240 |